# Nd3S4, optimized geometry, DFT GGA-PBE
# V = 27.97 A^3/atom
# Formation energy without anion corrections = -1979 meV per atom
data_Nd3S4
_chemical_formula_sum 'Nd6 S8'
_cell_length_a 14.740
_cell_length_b 4.109
_cell_length_c 7.196
_cell_angle_alpha 90.00
_cell_angle_beta 116.06
_cell_angle_gamma 90.00
_symmetry_space_group_name_H-M 'C 1 2/m 1'
_symmetry_Int_Tables_number 12
loop_
_symmetry_equiv_pos_as_xyz
'x,y,z'
'-x,-y,-z'
'-x,y,-z'
'x,-y,z'
'x+1/2,y+1/2,z'
'-x+1/2,-y+1/2,-z'
'-x+1/2,y+1/2,-z'
'x+1/2,-y+1/2,z'
loop_
_atom_site_label
_atom_site_type_symbol
_atom_site_fract_x
_atom_site_fract_y
_atom_site_fract_z
_atom_site_occupancy
Nd1 Nd 0.000 0.000 0.000 1
Nd2 Nd 0.222 0.500 0.718 1
S1 S 0.126 0.000 0.434 1
S2 S 0.142 0.500 0.013 1